1.
# LiSiGeHF | Alexandria via LeMat-Bulk | GGA-PBE | optimized geometry
# - E_tot: -0.3036 Ry per atom
# - Calculated density: 3.04 Mg/m³
# - Space-group type: Pmm2 (25)
# - Magnetization: 0.0000 μB/atom
data_LiSiGeHF
_space_group_name_H-M_alt 'P 1'
_space_group_IT_number 1
_cell_length_a 3.802
_cell_length_b 3.810
_cell_length_c 4.810
_cell_angle_alpha 90.00
_cell_angle_beta 90.00
_cell_angle_gamma 90.00
loop_
_space_group_symop_operation_xyz
'x,y,z'
loop_
_atom_site_label
_atom_site_fract_x
_atom_site_fract_y
_atom_site_fract_z
Si1 0.500 0.500 0.082
F1 0.500 0.500 0.460
H1 0.000 0.000 0.359
Ge1 0.000 0.000 0.021
Li1 0.500 0.000 0.592



2.
# ThSc2Cd | Alexandria via LeMat-Bulk | GGA-PBE | optimized geometry
# - E_tot: -0.3974 Ry per atom
# - Calculated density: 7.21 Mg/m³
# - Space-group type: P4/mmm (123)
# - Magnetization: 0.0000 μB/atom
data_ThSc2Cd
_space_group_name_H-M_alt 'P 1'
_space_group_IT_number 1
_cell_length_a 3.489
_cell_length_b 3.489
_cell_length_c 8.219
_cell_angle_alpha 90.00
_cell_angle_beta 90.00
_cell_angle_gamma 90.00
loop_
_space_group_symop_operation_xyz
'x,y,z'
loop_
_atom_site_label
_atom_site_fract_x
_atom_site_fract_y
_atom_site_fract_z
Th1 0.500 0.500 0.500
Cd1 0.500 0.500 0.000
Sc1 0.000 0.000 0.225
Sc2 0.000 0.000 0.775



3.
# NpSbAs | Alexandria via LeMat-Bulk | GGA-PBE | optimized geometry
# - E_tot: -0.5600 Ry per atom
# - Calculated density: 9.95 Mg/m³
# - Space-group type: I4/mmm (139)
# - Magnetization: 1.0549 μB/atom
data_NpSbAs
_space_group_name_H-M_alt 'P 1'
_space_group_IT_number 1
_cell_length_a 4.157
_cell_length_b 4.157
_cell_length_c 8.879
_cell_angle_alpha 103.54
_cell_angle_beta 103.54
_cell_angle_gamma 90.00
loop_
_space_group_symop_operation_xyz
'x,y,z'
loop_
_atom_site_label
_atom_site_fract_x
_atom_site_fract_y
_atom_site_fract_z
Np1 0.348 0.348 0.695
Np2 0.652 0.652 0.305
As1 0.821 0.821 0.643
As2 0.179 0.179 0.357
Sb1 0.500 0.000 0.000
Sb2 0.000 0.500 0.000



4.
# CeY2Ru2 | Alexandria via LeMat-Bulk | GGA-PBE | optimized geometry
# - E_tot: -0.5752 Ry per atom
# - Calculated density: 7.24 Mg/m³
# - Space-group type: P2_1/c (14)
# - Magnetization: 0.0000 μB/atom
data_CeY2Ru2
_space_group_name_H-M_alt 'P 1'
_space_group_IT_number 1
_cell_length_a 7.043
_cell_length_b 6.741
_cell_length_c 10.152
_cell_angle_alpha 90.00
_cell_angle_beta 98.23
_cell_angle_gamma 90.00
loop_
_space_group_symop_operation_xyz
'x,y,z'
loop_
_atom_site_label
_atom_site_fract_x
_atom_site_fract_y
_atom_site_fract_z
Ce1 0.510 0.335 0.367
Ce2 0.490 0.665 0.633
Ce3 0.990 0.835 0.633
Ce4 0.010 0.165 0.367
Ru1 0.265 0.977 0.813
Ru2 0.717 0.934 0.484
Ru3 0.765 0.523 0.813
Ru4 0.217 0.566 0.484
Ru5 0.235 0.477 0.187
Ru6 0.283 0.066 0.516
Ru7 0.783 0.434 0.516
Ru8 0.735 0.023 0.187
Y1 0.615 0.152 0.717
Y2 0.885 0.652 0.283
Y3 0.115 0.348 0.717
Y4 0.550 0.755 0.979
Y5 0.050 0.745 0.979
Y6 0.385 0.848 0.283
Y7 0.950 0.255 0.021
Y8 0.450 0.245 0.021



5.
# K2SmScO4 | Alexandria via LeMat-Bulk | GGA-PBE | optimized geometry
# - E_tot: -0.5001 Ry per atom
# - Calculated density: 4.43 Mg/m³
# - Space-group type: P2/m (10)
# - Magnetization: 0.0000 μB/atom
data_K2SmScO4
_space_group_name_H-M_alt 'P 1'
_space_group_IT_number 1
_cell_length_a 3.430
_cell_length_b 5.920
_cell_length_c 6.535
_cell_angle_alpha 107.54
_cell_angle_beta 90.00
_cell_angle_gamma 90.00
loop_
_space_group_symop_operation_xyz
'x,y,z'
loop_
_atom_site_label
_atom_site_fract_x
_atom_site_fract_y
_atom_site_fract_z
K1 0.500 0.000 0.500
K2 0.000 0.500 0.500
O1 0.000 0.251 0.815
O2 0.500 0.212 0.182
O3 0.000 0.749 0.185
O4 0.500 0.788 0.818
Sm1 0.500 0.500 0.000
Sc1 0.000 0.000 0.000



6.
# Ac2La3NdY6 | Alexandria via LeMat-Bulk | GGA-PBE | optimized geometry
# - E_tot: -0.4062 Ry per atom
# - Calculated density: 6.06 Mg/m³
# - Space-group type: C2/m (12)
# - Magnetization: 0.0000 μB/atom
data_Ac2La3NdY6
_space_group_name_H-M_alt 'P 1'
_space_group_IT_number 1
_cell_length_a 6.434
_cell_length_b 6.434
_cell_length_c 12.027
_cell_angle_alpha 95.12
_cell_angle_beta 95.12
_cell_angle_gamma 120.00
loop_
_space_group_symop_operation_xyz
'x,y,z'
loop_
_atom_site_label
_atom_site_fract_x
_atom_site_fract_y
_atom_site_fract_z
La1 0.167 0.833 0.500
La2 0.500 0.500 0.500
La3 0.833 0.167 0.500
Y1 0.585 0.916 0.748
Y2 0.415 0.084 0.252
Y3 0.084 0.415 0.252
Y4 0.753 0.753 0.253
Y5 0.247 0.247 0.747
Y6 0.916 0.585 0.748
Ac1 0.333 0.667 0.000
Ac2 0.667 0.333 0.000
Nd1 0.000 0.000 0.000



7.
# Ta2BeCl | Alexandria via LeMat-Bulk | GGA-PBE | optimized geometry
# - E_tot: -0.4989 Ry per atom
# - Calculated density: 11.40 Mg/m³
# - Space-group type: Fm-3m (225)
# - Magnetization: 0.0000 μB/atom
data_Ta2BeCl
_space_group_name_H-M_alt 'P 1'
_space_group_IT_number 1
_cell_length_a 4.374
_cell_length_b 4.374
_cell_length_c 4.374
_cell_angle_alpha 60.00
_cell_angle_beta 60.00
_cell_angle_gamma 60.00
loop_
_space_group_symop_operation_xyz
'x,y,z'
loop_
_atom_site_label
_atom_site_fract_x
_atom_site_fract_y
_atom_site_fract_z
Be1 0.000 0.000 0.000
Ta1 0.250 0.250 0.250
Ta2 0.750 0.750 0.750
Cl1 0.500 0.500 0.500



8.
# TaBIr2 | Alexandria via LeMat-Bulk | GGA-PBE | optimized geometry
# - E_tot: -0.6589 Ry per atom
# - Calculated density: 13.50 Mg/m³
# - Space-group type: I-42d (122)
# - Magnetization: 0.0000 μB/atom
data_TaBIr2
_space_group_name_H-M_alt 'P 1'
_space_group_IT_number 1
_cell_length_a 5.239
_cell_length_b 5.239
_cell_length_c 6.355
_cell_angle_alpha 65.66
_cell_angle_beta 65.66
_cell_angle_gamma 90.00
loop_
_space_group_symop_operation_xyz
'x,y,z'
loop_
_atom_site_label
_atom_site_fract_x
_atom_site_fract_y
_atom_site_fract_z
Ir1 0.375 0.452 0.750
Ir2 0.202 0.625 0.250
Ir3 0.875 0.798 0.750
Ir4 0.548 0.125 0.250
Ta1 0.000 0.000 0.000
Ta2 0.750 0.250 0.500
B1 0.500 0.500 0.000
B2 0.250 0.750 0.500



9.
# In2RePb | Alexandria via LeMat-Bulk | GGA-PBE | optimized geometry
# - E_tot: -0.3582 Ry per atom
# - Calculated density: 11.29 Mg/m³
# - Space-group type: R-3m (166)
# - Magnetization: 0.0000 μB/atom
data_In2RePb
_space_group_name_H-M_alt 'P 1'
_space_group_IT_number 1
_cell_length_a 10.734
_cell_length_b 10.734
_cell_length_c 10.734
_cell_angle_alpha 16.94
_cell_angle_beta 16.94
_cell_angle_gamma 16.94
loop_
_space_group_symop_operation_xyz
'x,y,z'
loop_
_atom_site_label
_atom_site_fract_x
_atom_site_fract_y
_atom_site_fract_z
In1 0.486 0.486 0.486
In2 0.014 0.014 0.014
Pb1 0.250 0.250 0.250
Re1 0.750 0.750 0.750



10.
# BeTl2Cr | Alexandria via LeMat-Bulk | GGA-PBE | optimized geometry
# - E_tot: -0.2774 Ry per atom
# - Calculated density: 9.88 Mg/m³
# - Space-group type: P4/mmm (123)
# - Magnetization: 1.0199 μB/atom
data_BeTl2Cr
_space_group_name_H-M_alt 'P 1'
_space_group_IT_number 1
_cell_length_a 3.448
_cell_length_b 3.448
_cell_length_c 6.640
_cell_angle_alpha 90.00
_cell_angle_beta 90.00
_cell_angle_gamma 90.00
loop_
_space_group_symop_operation_xyz
'x,y,z'
loop_
_atom_site_label
_atom_site_fract_x
_atom_site_fract_y
_atom_site_fract_z
Be1 0.500 0.500 0.250
Cr1 0.500 0.500 0.750
Tl1 0.000 0.000 0.015
Tl2 0.000 0.000 0.485



11.
# ReSi2Au | Alexandria via LeMat-Bulk | GGA-PBE | optimized geometry
# - E_tot: -0.4588 Ry per atom
# - Calculated density: 11.55 Mg/m³
# - Space-group type: C2/m (12)
# - Magnetization: 0.0000 μB/atom
data_ReSi2Au
_space_group_name_H-M_alt 'P 1'
_space_group_IT_number 1
_cell_length_a 5.083
_cell_length_b 5.083
_cell_length_c 3.147
_cell_angle_alpha 70.88
_cell_angle_beta 70.88
_cell_angle_gamma 109.37
loop_
_space_group_symop_operation_xyz
'x,y,z'
loop_
_atom_site_label
_atom_site_fract_x
_atom_site_fract_y
_atom_site_fract_z
Si1 0.000 0.000 0.000
Si2 0.500 0.500 0.000
Re1 0.000 0.500 0.500
Au1 0.500 0.000 0.500



12.
# Ba2AcPaS6 | Alexandria via LeMat-Bulk | GGA-PBE | optimized geometry
# - E_tot: -0.4561 Ry per atom
# - Calculated density: 5.02 Mg/m³
# - Space-group type: P2_1/c (14)
# - Magnetization: 0.0000 μB/atom
data_Ba2AcPaS6
_space_group_name_H-M_alt 'P 1'
_space_group_IT_number 1
_cell_length_a 7.393
_cell_length_b 7.777
_cell_length_c 10.652
_cell_angle_alpha 90.00
_cell_angle_beta 90.27
_cell_angle_gamma 90.00
loop_
_space_group_symop_operation_xyz
'x,y,z'
loop_
_atom_site_label
_atom_site_fract_x
_atom_site_fract_y
_atom_site_fract_z
Ba1 0.978 0.068 0.749
Ba2 0.022 0.932 0.251
Ba3 0.522 0.568 0.751
Ba4 0.478 0.432 0.249
Pa1 0.000 0.500 0.000
Pa2 0.500 0.000 0.500
S1 0.608 0.038 0.265
S2 0.788 0.812 0.554
S3 0.892 0.538 0.235
S4 0.712 0.312 0.946
S5 0.817 0.785 0.939
S6 0.683 0.285 0.561
S7 0.183 0.215 0.061
S8 0.392 0.962 0.735
S9 0.212 0.188 0.446
S10 0.108 0.462 0.765
S11 0.288 0.688 0.054
S12 0.317 0.715 0.439
Ac1 0.500 0.000 0.000
Ac2 0.000 0.500 0.500